Here is an optimized crystal structure of ScU2TaC4 from the Alexandria database. Energies are from PBE-GGA.

Cell and atoms, written as POSCAR:
```
ScU2TaC4
1.0
5.7695 0.0000 0.0000
0.0000 3.3194 0.0000
-1.9279 0.0000 5.5834
Sc U Ta C
1 2 1 4
Cartesian
0.0000 0.0000 0.0000
-0.9640 1.6597 2.7917
1.9208 0.0000 2.7917
2.8848 1.6597 0.0000
1.0336 1.6597 1.3475
0.0427 0.0000 4.2862
3.7989 0.0000 1.2972
2.8080 1.6597 4.2359
```

Results
E_form = -414 meV per atom
space-group type = No. 10


Here is an optimized crystal structure of Sc2TaWC4 from the Alexandria database. Energies are from PBE-GGA.

Cell and atoms, written as POSCAR:
```
Sc2TaWC4
1.0
5.4813 0.0000 0.0000
0.0000 3.1728 0.0000
-1.8236 0.0000 5.2846
Sc Ta W C
2 1 1 4
Cartesian
0.0000 0.0000 0.0000
2.7407 1.5864 0.0000
-0.9118 1.5864 2.6423
1.8289 0.0000 2.6423
0.0237 0.0000 3.8768
0.9334 1.5864 1.4114
2.7244 1.5864 3.8731
3.6341 0.0000 1.4078
```

Results
E_form = -529 meV per atom
space-group type = No. 10


Here is an optimized crystal structure of Sc2TaZnC from the Alexandria database. Energies are from PBE-GGA.

Cell and atoms, written as POSCAR:
```
Sc2TaZnC
1.0
4.4370 0.0000 0.0000
0.0000 4.4370 0.0000
0.0000 0.0000 4.3228
Sc Ta Zn C
2 1 1 1
Cartesian
0.0000 2.2185 0.0000
2.2185 0.0000 0.0000
0.0000 0.0000 2.1614
2.2185 2.2185 2.1614
0.0000 0.0000 0.0000
```

Results
E_form = -322 meV per atom
space-group type = No. 123


Here is an optimized crystal structure of TbSc3C from the Alexandria database. Energies are from PBE-GGA.

Cell and atoms, written as POSCAR:
```
TbSc3C
1.0
4.7096 0.0000 0.0000
0.0000 4.7096 0.0000
0.0000 0.0000 4.7096
Tb Sc C
1 3 1
Cartesian
0.0000 0.0000 0.0000
0.0000 2.3548 2.3548
2.3548 0.0000 2.3548
2.3548 2.3548 0.0000
2.3548 2.3548 2.3548
```

Results
E_form = -89 meV per atom
space-group type = No. 221


Here is an optimized crystal structure of TbScC2 from the Alexandria database. Energies are from PBE-GGA.

Cell and atoms, written as POSCAR:
```
TbScC2
1.0
3.4845 0.0000 0.0000
-1.7423 3.0177 0.0000
0.0000 0.0000 16.8722
Tb Sc C
3 3 6
Cartesian
0.0000 0.0000 0.0000
0.0000 2.0118 11.2481
1.7423 1.0059 5.6241
0.0000 0.0000 8.4361
0.0000 2.0118 2.8120
1.7423 1.0059 14.0602
0.0000 0.0000 4.1044
0.0000 0.0000 12.7677
0.0000 2.0118 7.1437
0.0000 2.0118 15.3526
1.7423 1.0059 1.5196
1.7423 1.0059 9.7285
```

Results
E_form = 6 meV per atom
space-group type = No. 166


Here is an optimized crystal structure of TbSc2C from the Alexandria database. Energies are from PBE-GGA.

Cell and atoms, written as POSCAR:
```
TbSc2C
1.0
3.3278 0.0000 0.0000
-1.6639 2.8819 0.0000
0.0000 0.0000 27.4891
Tb Sc C
3 6 3
Cartesian
0.0000 0.0000 0.0000
0.0000 1.9213 18.3261
1.6639 0.9606 9.1630
0.0000 0.0000 3.3623
0.0000 0.0000 24.1268
0.0000 1.9213 14.9638
0.0000 1.9213 21.6884
1.6639 0.9606 5.8007
1.6639 0.9606 12.5253
0.0000 0.0000 13.7446
0.0000 1.9213 4.5815
1.6639 0.9606 22.9076
```

Results
E_form = -204 meV per atom
space-group type = No. 166


Here is an optimized crystal structure of Tb2ScC2 from the Alexandria database. Energies are from PBE-GGA.

Cell and atoms, written as POSCAR:
```
Tb2ScC2
1.0
5.6820 -2.5634 0.0000
5.6820 2.5634 0.0000
-2.7283 0.0000 6.5636
Tb Sc C
4 2 4
Cartesian
-0.5094 0.0000 1.5816
1.2681 0.0000 6.0391
7.3676 0.0000 0.5245
9.1450 0.0000 4.9820
2.9218 0.0000 2.6121
5.7139 0.0000 3.9515
1.6969 0.0000 0.6685
3.6421 0.0000 4.7899
4.9935 0.0000 1.7737
6.9388 0.0000 5.8950
```

Results
E_form = -250 meV per atom
space-group type = No. 12


Here is an optimized crystal structure of Tb2Sc2C3 from the Alexandria database. Energies are from PBE-GGA.

Cell and atoms, written as POSCAR:
```
Tb2Sc2C3
1.0
12.0085 0.0000 0.0000
0.0000 3.5950 0.0000
-1.8355 0.0000 5.7777
Tb Sc C
4 4 6
Cartesian
0.7410 0.0000 2.1358
3.4278 1.7975 3.6420
6.7452 1.7975 2.1358
9.4320 0.0000 3.6420
0.3611 1.7975 4.8387
3.8076 0.0000 0.9390
6.3654 0.0000 4.8387
9.8119 1.7975 0.9390
-0.9177 1.7975 2.8889
2.4480 1.7975 1.3429
1.7208 0.0000 4.4348
5.0865 0.0000 2.8889
8.4522 0.0000 1.3429
7.7250 1.7975 4.4348
```

Results
E_form = -307 meV per atom
space-group type = No. 12


Here is an optimized crystal structure of Tb2ScC from the Alexandria database. Energies are from PBE-GGA.

Cell and atoms, written as POSCAR:
```
Tb2ScC
1.0
3.5032 0.0000 0.0000
-1.7516 3.0339 0.0000
0.0000 0.0000 27.9749
Tb Sc C
6 3 3
Cartesian
0.0000 0.0000 3.2951
0.0000 0.0000 24.6798
0.0000 2.0226 15.3548
0.0000 2.0226 21.9451
1.7516 1.0113 6.0298
1.7516 1.0113 12.6201
0.0000 0.0000 0.0000
0.0000 2.0226 18.6499
1.7516 1.0113 9.3250
0.0000 0.0000 13.9874
0.0000 2.0226 4.6625
1.7516 1.0113 23.3124
```

Results
E_form = 7 meV per atom
space-group type = No. 166


Here is an optimized crystal structure of Tb2Sc2Te2C from the Alexandria database. Energies are from PBE-GGA.

Cell and atoms, written as POSCAR:
```
Tb2Sc2Te2C
1.0
13.1735 0.0000 0.0000
0.0000 3.8507 0.0000
-2.8714 0.0000 6.4647
Tb Sc Te C
4 4 4 2
Cartesian
-0.5791 0.0000 1.5660
4.2945 1.9254 4.8988
6.0076 1.9254 1.5660
10.8813 0.0000 4.8988
2.1408 1.9254 0.5812
1.5746 0.0000 5.8835
8.7275 0.0000 0.5812
8.1613 1.9254 5.8835
0.2525 1.9254 4.0977
3.4629 0.0000 2.3670
6.8393 0.0000 4.0977
10.0496 1.9254 2.3670
0.0000 1.9254 0.0000
6.5867 0.0000 0.0000
```

Results
uncorrected formation energy = -570 kJ/mol of formula units
space-group type = No. 12


Here is an optimized crystal structure of Sc3TcC from the Alexandria database. Energies are from PBE-GGA.

Cell and atoms, written as POSCAR:
```
Sc3TcC
1.0
4.8852 0.0000 0.0000
0.0000 4.8852 0.0000
0.0000 0.0000 4.8852
Sc Tc C
3 1 1
Cartesian
0.0000 0.0000 2.4426
0.0000 2.4426 0.0000
2.4426 0.0000 0.0000
0.0000 0.0000 0.0000
2.4426 2.4426 2.4426
```

Results
E_form = 1264 meV per atom
E above lowest polymorph = 1353 meV/atom
space-group type = No. 221


Here is an optimized crystal structure of Sc3TcC2 from the Alexandria database. Energies are from PBE-GGA.

Cell and atoms, written as POSCAR:
```
Sc3TcC2
1.0
-3.1510 4.0620 3.6091
3.1510 -4.0620 3.6091
3.1510 4.0620 -3.6091
Sc Tc C
6 2 4
Cartesian
1.5755 3.7385 -1.8046
1.5755 -0.3235 1.8046
0.0000 2.0310 0.1762
3.1510 2.0310 3.4329
-1.5755 4.3855 1.8046
1.5755 4.3855 1.8046
3.1510 2.0310 0.5565
0.0000 2.0310 3.0526
3.1510 2.0310 -1.4528
-1.5755 2.0310 1.8046
1.5755 2.0310 1.8046
0.0000 2.0310 5.0619
```

Results
E_form = -380 meV per atom
space-group type = No. 74


no.,total DFT energy (no corrections) (eV for the cell shown)
1,-80.97
2,-78.60
3,-36.62
4,-33.29
5,-88.16
6,-82.00
7,-70.58
8,-103.49
9,-74.36
10,-86.67
11,-32.26
12,-100.18